# 1
Below is a relaxed structure of TbNd6Sm2Ho, with properties calculated at the PBE level.

Values from the calculation:
Calculated formation energy in eV per atom: 0.114
Calculated volume in Å³/f.u.: 345
Magnetization in μB/cell: 0.00

Cell: 9.2545 15.4157 9.7778 Å, 90.00 98.05 90.00°
With the nearest neighbours (Å) after each atom.
Space group C2/c (No. 15)
Inequivalent atoms, fractional coordinates:
Tb1 0.0000 0.0235 0.2500 [4 per cell]  4 Sm 3.44-3.45, 4 Nd 3.62-3.70
Nd1 0.0614 0.1815 0.9455 [8 per cell]  7 Nd 3.47-3.83, 1 Sm 3.52, 1 Tb 3.70
Nd2 0.1017 0.3938 0.1186 [8 per cell]  3 Sm 3.30-3.51, 4 Nd 3.32-3.68, 2 Ho 3.48-3.60
Nd3 0.2086 0.2219 0.3110 [8 per cell]  3 Nd 3.32-3.69, 1 Sm 3.48, 1 Ho 3.49, 1 Tb 3.62
Sm1 0.2477 0.0499 0.5439 [8 per cell]  5 Nd 3.30-3.52, 2 Tb 3.44-3.45, 1 Ho 3.59
Ho1 0.0000 0.4095 0.7500 [4 per cell]  6 Nd 3.48-3.60, 2 Sm 3.59

=====

# 2
Below is a relaxed structure of ZnCd2Ag, with properties calculated at the PBE level.

Values from the calculation:
Calculated formation energy in eV per atom: 0.039
Calculated volume in Å³/f.u.: 78
Magnetization in μB/cell: 0.00

Cell: 9.5610 3.1732 5.1837 Å, 90.00 99.52 90.00°
With the nearest neighbours (Å) after each atom.
Space group C2/m (No. 12)
Inequivalent atoms, fractional coordinates:
Zn1 0.0000 0.0000 0.0000 [2 per cell]  6 Cd 2.90-2.98, 4 Ag 3.04, 2 Zn 3.17
Cd1 0.2502 0.0000 0.7522 [4 per cell]  3 Zn 2.90-2.98, 3 Ag 2.91-2.99, 6 Cd 3.02-3.17
Ag1 0.0000 0.5000 0.5000 [2 per cell]  6 Cd 2.91-2.99, 4 Zn 3.04, 2 Ag 3.17

=====

# 3
Below is a relaxed structure of AcPm12Pr6, with properties calculated at the PBE level.

Values from the calculation:
Polymorph energy (0 for the lowest one) in meV per atom: 174
Calculated formation energy in eV per atom: 0.361
Calculated volume in Å³/f.u.: 702
Magnetization in μB/cell: 0.00

Cell: 14.1074 14.1074 12.2196 Å, 90.00 90.00 120.00°
With the nearest neighbours (Å) after each atom.
Space group R-3m (No. 166, hexagonal axes)
Inequivalent atoms, fractional coordinates:
Ac1 0.0000 0.0000 0.0000 [3 per cell]  6 Pr 4.21
Pm1 0.0000 0.3872 0.5000 [18 per cell]  4 Pr 3.07-3.28, 1 Pm 3.18
Pm2 0.0914 0.1827 0.3430 [18 per cell]  4 Pr 3.56-3.86, 5 Pm 3.67-3.87
Pr1 0.0046 0.5023 0.2653 [18 per cell]  4 Pm 3.07-3.28

=====

# 4
Below is a relaxed structure of CuTe2W, with properties calculated at the PBE level.

Values from the calculation:
Polymorph energy (0 for the lowest one) in meV per atom: 87
Calculated volume in Å³/f.u.: 83
Magnetization in μB/cell: 0.00

Cell: 3.5099 3.5099 23.2092 Å, 90.00 90.00 120.00°
With the nearest neighbours (Å) after each atom.
Space group R-3m (No. 166, hexagonal axes)
Inequivalent atoms, fractional coordinates:
Cu1 0.0000 0.0000 0.0000 [3 per cell]  6 Te 2.82
Te1 0.0000 0.0000 0.2488 [6 per cell]  3 W 2.78, 3 Cu 2.82
W1 0.0000 0.0000 0.5000 [3 per cell]  6 Te 2.78

=====

# 5
Below is a relaxed structure of Sc2Ni15Ir2, with properties calculated at the PBE level.

Values from the calculation:
Calculated formation energy in eV per atom: -0.160
Calculated volume in Å³/f.u.: 239
Magnetization in μB/cell: 23.50

Cell: 8.2402 8.2402 12.1714 Å, 90.00 90.00 120.00°
With the nearest neighbours (Å) after each atom.
Space group R-3m (No. 166, hexagonal axes)
Inequivalent atoms, fractional coordinates:
Sc1 0.0000 0.0000 0.1599 [6 per cell]  18 Ni 2.88-3.18, 1 Ir 2.88
Ni1 0.0000 0.3039 0.5000 [18 per cell]  8 Ni 2.39-2.52
Ni2 0.0000 0.5000 0.0000 [9 per cell]  8 Ni 2.39-2.40, 2 Ir 2.50
Ni3 0.0059 0.5029 0.6548 [18 per cell]  8 Ni 2.35-2.52, 1 Ir 2.59
Ir1 0.0000 0.0000 0.3964 [6 per cell]  6 Ni 2.50-2.59, 1 Ir 2.52

=====

# 6
Below is a relaxed structure of Na4PmHg5, with properties calculated at the PBE level.

Values from the calculation:
Calculated formation energy in eV per atom: -0.277
Calculated volume in Å³/f.u.: 263
Magnetization in μB/cell: 0.43

Cell: 3.7494 3.7494 18.7167 Å, 90.00 90.00 90.00°
With the nearest neighbours (Å) after each atom.
Space group P4/mmm (No. 123)
Inequivalent atoms, fractional coordinates:
Na1 0.0000 0.0000 0.0972 [2 per cell]  8 Hg 3.21-3.22
Na2 0.0000 0.0000 0.2966 [2 per cell]  8 Hg 3.26-3.27
Pm1 0.0000 0.0000 0.5000 [1 per cell]  8 Hg 3.27
Hg1 0.5000 0.5000 0.0000 [1 per cell]  8 Na 3.22
Hg2 0.5000 0.5000 0.1943 [2 per cell]  8 Na 3.21-3.27
Hg3 0.5000 0.5000 0.3982 [2 per cell]  4 Na 3.26, 4 Pm 3.27

=====

# 7
Below is a relaxed structure of ZrGaTeI2, with properties calculated at the PBE level.

Values from the calculation:
Polymorph energy (0 for the lowest one) in meV per atom: 710
Calculated volume in Å³/f.u.: 163
Magnetization in μB/cell: 1.90

Cell: 5.4440 5.4440 5.4998 Å, 90.00 90.00 90.00°
With the nearest neighbours (Å) after each atom.
Space group P4/mmm (No. 123)
Inequivalent atoms, fractional coordinates:
Zr1 0.0000 0.0000 0.0000 [1 per cell]  4 Te 3.85, 8 I 3.87
Ga1 0.5000 0.5000 0.5000 [1 per cell]  4 I 2.72, 2 Te 2.75
Te1 0.5000 0.5000 0.0000 [1 per cell]  2 Ga 2.75
I1 0.0000 0.5000 0.5000 [2 per cell]  2 Ga 2.72

=====

# 8
Below is a relaxed structure of ZnHPt4, with properties calculated at the PBE level.

Values from the calculation:
DFT total energy in eV per atom: -4.93
Calculated volume in Å³/f.u.: 82
Magnetization in μB/cell: 0.00

Cell: 3.7889 15.5252 5.5774 Å, 90.00 90.00 90.00°
With the nearest neighbours (Å) after each atom.
Space group Cmcm (No. 63)
Inequivalent atoms, fractional coordinates:
Zn1 0.0000 0.0902 0.2500 [4 per cell]  1 H 2.51, 10 Pt 2.74-2.79
H1 0.0000 0.2516 0.2500 [4 per cell]  2 Pt 1.74
Pt1 0.0000 0.0915 0.7500 [4 per cell]  8 Pt 2.75-2.77, 3 Zn 2.79-2.82
Pt2 0.0000 0.3163 0.5050 [8 per cell]  1 H 1.74
Pt3 0.0000 0.5000 0.0000 [4 per cell]  4 Zn 2.74, 8 Pt 2.75-2.85

=====

# 9
Below is a relaxed structure of Ba4SiW, with properties calculated at the PBE level.

Values from the calculation:
DFT total energy in eV per atom: -2.96
Calculated volume in Å³/f.u.: 237
Magnetization in μB/cell: 15.68

Cell: 9.8169 9.8169 9.8169 Å, 90.00 90.00 90.00°
With the nearest neighbours (Å) after each atom.
Space group F-43m (No. 216)
Inequivalent atoms, fractional coordinates:
Ba1 0.1245 0.1245 0.1245 [16 per cell]  6 Ba 3.46-3.49
Si1 0.2500 0.2500 0.7500 [4 per cell]  12 Ba 4.07, 4 W 4.25
W1 0.0000 0.0000 0.5000 [4 per cell]  12 Ba 4.07, 4 Si 4.25

=====

# 10
Below is a relaxed structure of Ba2CdHg8, with properties calculated at the PBE level.

Values from the calculation:
Polymorph energy (0 for the lowest one) in meV per atom: 13
Calculated formation energy in eV per atom: -0.295
Calculated volume in Å³/f.u.: 347
Magnetization in μB/cell: 0.00

Cell: 4.9723 4.9723 14.0445 Å, 90.00 90.00 90.00°
With the nearest neighbours (Å) after each atom.
Space group P4/mmm (No. 123)
Inequivalent atoms, fractional coordinates:
Ba1 0.0000 0.0000 0.1937 [2 per cell]  12 Hg 3.54-3.68
Cd1 0.0000 0.0000 0.5000 [1 per cell]  8 Hg 3.06
Hg1 0.0000 0.5000 0.0000 [2 per cell]  8 Hg 3.27-3.52
Hg2 0.0000 0.5000 0.3730 [4 per cell]  2 Cd 3.06
Hg3 0.5000 0.5000 0.1514 [2 per cell]  4 Hg 3.27, 4 Ba 3.57

=====

# 11
Below is a relaxed structure of AcTl2Ag, with properties calculated at the PBE level.

Values from the calculation:
Polymorph energy (0 for the lowest one) in meV per atom: 81
Calculated formation energy in eV per atom: -0.169
Calculated volume in Å³/f.u.: 118
Magnetization in μB/cell: 0.00

Cell: 4.8081 4.8081 5.1129 Å, 90.00 90.00 90.00°
With the nearest neighbours (Å) after each atom.
Space group P4/mmm (No. 123)
Inequivalent atoms, fractional coordinates:
Ac1 0.0000 0.0000 0.0000 [1 per cell]  4 Ag 3.40, 8 Tl 3.51
Tl1 0.0000 0.5000 0.5000 [2 per cell]  4 Tl 3.40, 4 Ac 3.51, 4 Ag 3.51
Ag1 0.5000 0.5000 0.0000 [1 per cell]  4 Ac 3.40, 8 Tl 3.51

=====

# 12
Below is a relaxed structure of BaNa2ZnF6, with properties calculated at the PBE level.

Values from the calculation:
DFT total energy in eV per atom: -4.60
Calculated volume in Å³/f.u.: 155
Magnetization in μB/cell: 0.00

Cell: 5.8260 6.2522 10.2218 Å, 90.00 123.76 90.00°
With the nearest neighbours (Å) after each atom.
Space group P2_1/c (No. 14)
Inequivalent atoms, fractional coordinates:
Ba1 0.0000 0.0000 0.0000 [2 per cell]  6 F 2.54-2.67
Na1 0.2248 0.0311 0.7171 [4 per cell]  5 F 2.27-2.44
Zn1 0.5000 0.0000 0.5000 [2 per cell]  6 F 2.00-2.16
F1 0.1660 0.1393 0.4705 [4 per cell]  1 Zn 2.00
F2 0.2413 0.7236 0.3870 [4 per cell]  1 Zn 2.16, 1 Na 2.32
F3 0.4166 0.1261 0.2854 [4 per cell]  1 Zn 2.12, 2 Na 2.32-2.34

=====

# 13
Below is a relaxed structure of Nd4ZnTe2Cl, with properties calculated at the PBE level.

Values from the calculation:
DFT total energy in eV per atom: -4.70
Calculated volume in Å³/f.u.: 235
Magnetization in μB/cell: 0.00

Cell: 7.5294 4.2607 7.7059 Å, 90.00 108.24 90.00°
With the nearest neighbours (Å) after each atom.
Space group P2/m (No. 10)
Inequivalent atoms, fractional coordinates:
Nd1 0.2383 0.0000 0.2315 [2 per cell]  2 Zn 2.99, 1 Cl 3.04, 3 Te 3.13-3.19
Nd2 0.2479 0.5000 0.7688 [2 per cell]  1 Zn 2.96, 2 Cl 3.03, 3 Te 3.15-3.22
Zn1 0.0000 0.5000 0.0000 [1 per cell]  6 Nd 2.96-2.99
Te1 0.0000 0.0000 0.5000 [1 per cell]  6 Nd 3.13-3.15
Te2 0.5000 0.5000 0.5000 [1 per cell]  6 Nd 3.19-3.22
Cl1 0.5000 0.0000 0.0000 [1 per cell]  6 Nd 3.03-3.04

=====

# 14
Below is a relaxed structure of ZrMo, with properties calculated at the PBE level.

Values from the calculation:
Polymorph energy (0 for the lowest one) in meV per atom: 232
Calculated formation energy in eV per atom: 0.190
Calculated volume in Å³/f.u.: 40
Magnetization in μB/cell: 0.00

Cell: 8.0573 8.0573 4.9604 Å, 90.00 90.00 90.00°
With the nearest neighbours (Å) after each atom.
Space group I4/mmm (No. 139)
Inequivalent atoms, fractional coordinates:
Zr1 0.0000 0.2973 0.0000 [8 per cell]  6 Mo 2.78-3.01
Mo1 0.1582 0.1582 0.5000 [8 per cell]  2 Mo 2.55, 2 Zr 2.78

=====

# 15
Below is a relaxed structure of Ge3Rh, with properties calculated at the PBE level.

Values from the calculation:
Calculated formation energy in eV per atom: -0.083
Calculated volume in Å³/f.u.: 69
Magnetization in μB/cell: 0.00

Cell: 3.0656 7.9206 5.6852 Å, 90.00 90.00 90.00°
With the nearest neighbours (Å) after each atom.
Space group Imm2 (No. 44)
Inequivalent atoms, fractional coordinates:
Ge1 0.0000 0.0000 0.0000 [2 per cell]  2 Rh 2.51, 2 Ge 2.61
Ge2 0.0000 0.1931 0.6271 [4 per cell]  1 Ge 2.61, 3 Rh 2.68-2.74
Rh1 0.0000 0.5000 0.8497 [2 per cell]  8 Ge 2.51-2.74

=====

# 16
Below is a relaxed structure of SrMg2OsPt, with properties calculated at the PBE level.

Values from the calculation:
Calculated formation energy in eV per atom: 2.166
Calculated volume in Å³/f.u.: 171
Magnetization in μB/cell: 3.48

Cell: 5.7641 5.7641 5.1327 Å, 90.00 90.00 90.00°
With the nearest neighbours (Å) after each atom.
Space group P4/mmm (No. 123)
Inequivalent atoms, fractional coordinates:
Sr1 0.0000 0.0000 0.0000 [1 per cell]  2 Pt 2.57
Mg1 0.0000 0.5000 0.0000 [2 per cell]  2 Sr 2.88
Os1 0.5000 0.5000 0.5000 [1 per cell]  8 Mg 3.86, 4 Pt 4.08
Pt1 0.0000 0.0000 0.5000 [1 per cell]  2 Sr 2.57

=====

# 17
Below is a relaxed structure of CaCd2SnP, with properties calculated at the PBE level.

Values from the calculation:
Calculated formation energy in eV per atom: 0.098
Calculated volume in Å³/f.u.: 145
Magnetization in μB/cell: 0.00

Cell: 5.0764 5.0764 5.6149 Å, 90.00 90.00 90.00°
With the nearest neighbours (Å) after each atom.
Space group P4/mmm (No. 123)
Inequivalent atoms, fractional coordinates:
Ca1 0.0000 0.0000 0.0000 [1 per cell]  4 Sn 3.59, 8 Cd 3.78
Cd1 0.0000 0.5000 0.5000 [2 per cell]  2 P 2.54
Sn1 0.5000 0.5000 0.0000 [1 per cell]  2 P 2.81
P1 0.5000 0.5000 0.5000 [1 per cell]  4 Cd 2.54, 2 Sn 2.81

=====

# 18
Below is a relaxed structure of LaTiSi3, with properties calculated at the PBE level.

Values from the calculation:
DFT total energy in eV per atom: -4.32
Calculated volume in Å³/f.u.: 149
Magnetization in μB/cell: 1.80

Cell: 5.2981 5.2981 5.2981 Å, 90.00 90.00 90.00°
With the nearest neighbours (Å) after each atom.
Space group Pm-3m (No. 221)
Inequivalent atoms, fractional coordinates:
La1 0.0000 0.0000 0.0000 [1 per cell]  6 Si 2.65
Ti1 0.5000 0.5000 0.5000 [1 per cell]  12 Si 3.75
Si1 0.0000 0.0000 0.5000 [3 per cell]  2 La 2.65

=====

# 19
Below is a relaxed structure of LiGeS, with properties calculated at the PBE level.

Values from the calculation:
Polymorph energy (0 for the lowest one) in meV per atom: 338
Calculated volume in Å³/f.u.: 66
Magnetization in μB/cell: 0.00

Cell: 3.4688 3.4688 11.0438 Å, 90.00 90.00 90.00°
With the nearest neighbours (Å) after each atom.
Space group I4mm (No. 107)
Inequivalent atoms, fractional coordinates:
Li1 0.0000 0.0000 0.0000 [2 per cell]  4 S 2.46
Ge1 0.0000 0.0000 0.2873 [2 per cell]  1 S 2.20
S1 0.0000 0.0000 0.4868 [2 per cell]  1 Ge 2.20, 4 Li 2.46

=====

# 20
Below is a relaxed structure of PmGa3Fe, with properties calculated at the PBE level.

Values from the calculation:
Polymorph energy (0 for the lowest one) in meV per atom: 47
Calculated formation energy in eV per atom: -0.381
Calculated volume in Å³/f.u.: 95
Magnetization in μB/cell: 0.00

Cell: 4.5641 4.5641 4.5641 Å, 90.00 90.00 90.00°
With the nearest neighbours (Å) after each atom.
Space group Pm-3m (No. 221)
Inequivalent atoms, fractional coordinates:
Pm1 0.0000 0.0000 0.0000 [1 per cell]  12 Ga 3.23
Ga1 0.0000 0.5000 0.5000 [3 per cell]  2 Fe 2.28
Fe1 0.5000 0.5000 0.5000 [1 per cell]  6 Ga 2.28